[1]
Compound: Ta4Al25
Source: OQMD via LeMat-Bulk
Functional: GGA-PBE
Structure: relaxed

a b c (Å): 8.464 8.464 8.464
angles (deg): 109.47 109.47 109.47
Sites, in units of the cell vectors:
1 Ta 0.000 0.000 0.641
2 Ta 0.000 0.641 0.000
3 Ta 0.359 0.359 0.359
4 Ta 0.641 0.000 0.000
5 Al 0.000 0.000 0.000
6 Al 0.000 0.189 0.375
7 Al 0.000 0.375 0.189
8 Al 0.000 0.405 0.682
9 Al 0.000 0.682 0.405
10 Al 0.185 0.811 0.811
11 Al 0.189 0.000 0.375
12 Al 0.189 0.375 0.000
13 Al 0.277 0.595 0.595
14 Al 0.318 0.318 0.723
15 Al 0.318 0.723 0.318
16 Al 0.375 0.000 0.189
17 Al 0.375 0.189 0.000
18 Al 0.405 0.000 0.682
19 Al 0.405 0.682 0.000
20 Al 0.595 0.277 0.595
21 Al 0.595 0.595 0.277
22 Al 0.625 0.625 0.815
23 Al 0.625 0.815 0.625
24 Al 0.682 0.000 0.405
25 Al 0.682 0.405 0.000
26 Al 0.723 0.318 0.318
27 Al 0.811 0.185 0.811
28 Al 0.811 0.811 0.185
29 Al 0.815 0.625 0.625



[2]
Compound: TaAl2
Source: OQMD via LeMat-Bulk
Functional: GGA-PBE
Structure: relaxed

a b c (Å): 5.361 5.361 8.938
angles (deg): 90.00 90.00 122.56
Sites, in units of the cell vectors:
1 Ta 0.000 0.000 0.000
2 Ta 0.000 0.000 0.500
3 Ta 0.148 0.852 0.750
4 Ta 0.852 0.148 0.250
5 Al 0.147 0.354 0.750
6 Al 0.323 0.677 0.063
7 Al 0.323 0.677 0.437
8 Al 0.354 0.147 0.250
9 Al 0.646 0.853 0.750
10 Al 0.677 0.323 0.563
11 Al 0.677 0.323 0.937
12 Al 0.853 0.646 0.250



[3]
Compound: Ta8Al7
Source: OQMD via LeMat-Bulk
Functional: GGA-PBE
Structure: relaxed

a b c (Å): 9.809 9.809 5.488
angles (deg): 90.00 90.00 90.00
Sites, in units of the cell vectors:
1 Ta 0.067 0.265 0.000
2 Ta 0.184 0.816 0.253
3 Ta 0.184 0.816 0.747
4 Ta 0.235 0.567 0.500
5 Ta 0.265 0.067 0.000
6 Ta 0.316 0.316 0.247
7 Ta 0.316 0.316 0.753
8 Ta 0.433 0.765 0.500
9 Ta 0.567 0.235 0.500
10 Ta 0.684 0.684 0.247
11 Ta 0.684 0.684 0.753
12 Ta 0.735 0.933 0.000
13 Ta 0.765 0.433 0.500
14 Ta 0.816 0.184 0.253
15 Ta 0.816 0.184 0.747
16 Ta 0.933 0.735 0.000
17 Al 0.000 0.000 0.000
18 Al 0.039 0.363 0.500
19 Al 0.100 0.100 0.500
20 Al 0.137 0.539 0.000
21 Al 0.363 0.039 0.500
22 Al 0.400 0.600 0.000
23 Al 0.461 0.863 0.000
24 Al 0.500 0.500 0.500
25 Al 0.539 0.137 0.000
26 Al 0.600 0.400 0.000
27 Al 0.637 0.961 0.500
28 Al 0.863 0.461 0.000
29 Al 0.900 0.900 0.500
30 Al 0.961 0.637 0.500



[4]
Compound: Ta5Al7
Source: OQMD via LeMat-Bulk
Functional: GGA-PBE
Structure: relaxed

a b c (Å): 5.355 5.355 16.966
angles (deg): 90.00 90.00 120.00
Sites, in units of the cell vectors:
1 Ta 0.000 0.000 0.101
2 Ta 0.000 0.000 0.399
3 Ta 0.000 0.000 0.601
4 Ta 0.000 0.000 0.899
5 Ta 0.000 0.500 0.000
6 Ta 0.000 0.500 0.500
7 Ta 0.500 0.000 0.000
8 Ta 0.500 0.000 0.500
9 Ta 0.500 0.500 0.000
10 Ta 0.500 0.500 0.500
11 Al 0.158 0.316 0.250
12 Al 0.158 0.842 0.250
13 Al 0.316 0.158 0.750
14 Al 0.333 0.667 0.130
15 Al 0.333 0.667 0.370
16 Al 0.333 0.667 0.646
17 Al 0.333 0.667 0.854
18 Al 0.667 0.333 0.146
19 Al 0.667 0.333 0.354
20 Al 0.667 0.333 0.630
21 Al 0.667 0.333 0.870
22 Al 0.684 0.842 0.250
23 Al 0.842 0.158 0.750
24 Al 0.842 0.684 0.750



[5]
Compound: Ta5Al7
Source: OQMD via LeMat-Bulk
Functional: GGA-PBE
Structure: relaxed

a b c (Å): 5.380 5.380 17.831
angles (deg): 90.00 90.00 120.00
Sites, in units of the cell vectors:
1 Ta 0.000 0.500 0.000
2 Ta 0.000 0.500 0.500
3 Ta 0.333 0.667 0.128
4 Ta 0.333 0.667 0.372
5 Ta 0.500 0.000 0.000
6 Ta 0.500 0.000 0.500
7 Ta 0.500 0.500 0.000
8 Ta 0.500 0.500 0.500
9 Ta 0.667 0.333 0.628
10 Ta 0.667 0.333 0.872
11 Al 0.000 0.000 0.081
12 Al 0.000 0.000 0.419
13 Al 0.000 0.000 0.581
14 Al 0.000 0.000 0.919
15 Al 0.162 0.325 0.250
16 Al 0.162 0.838 0.250
17 Al 0.325 0.162 0.750
18 Al 0.333 0.667 0.644
19 Al 0.333 0.667 0.856
20 Al 0.667 0.333 0.144
21 Al 0.667 0.333 0.356
22 Al 0.675 0.838 0.250
23 Al 0.838 0.162 0.750
24 Al 0.838 0.675 0.750



[6]
Compound: Ta5Al7
Source: OQMD via LeMat-Bulk
Functional: GGA-PBE
Structure: relaxed

a b c (Å): 5.355 5.355 16.973
angles (deg): 90.00 90.00 120.00
Sites, in units of the cell vectors:
1 Ta 0.165 0.329 0.250
2 Ta 0.165 0.835 0.250
3 Ta 0.329 0.165 0.750
4 Ta 0.333 0.667 0.647
5 Ta 0.333 0.667 0.853
6 Ta 0.667 0.333 0.147
7 Ta 0.667 0.333 0.353
8 Ta 0.671 0.835 0.250
9 Ta 0.835 0.165 0.750
10 Ta 0.835 0.671 0.750
11 Al 0.000 0.000 0.104
12 Al 0.000 0.000 0.396
13 Al 0.000 0.000 0.604
14 Al 0.000 0.000 0.896
15 Al 0.000 0.500 0.000
16 Al 0.000 0.500 0.500
17 Al 0.333 0.667 0.122
18 Al 0.333 0.667 0.378
19 Al 0.500 0.000 0.000
20 Al 0.500 0.000 0.500
21 Al 0.500 0.500 0.000
22 Al 0.500 0.500 0.500
23 Al 0.667 0.333 0.622
24 Al 0.667 0.333 0.878



[7]
Compound: TaAl
Source: OQMD via LeMat-Bulk
Functional: GGA-PBE
Structure: relaxed

a b c (Å): 3.787 4.191 4.230
angles (deg): 90.00 90.00 90.00
Sites, in units of the cell vectors:
1 Ta 0.000 0.000 0.000
2 Ta 0.500 0.500 0.000
3 Al 0.000 0.500 0.500
4 Al 0.500 0.000 0.500



[8]
Compound: TaAl
Source: OQMD via LeMat-Bulk
Functional: GGA-PBE
Structure: relaxed

a b c (Å): 5.172 5.172 17.547
angles (deg): 90.00 90.00 120.00
Sites, in units of the cell vectors:
1 Ta 0.000 0.000 0.104
2 Ta 0.000 0.000 0.396
3 Ta 0.000 0.000 0.604
4 Ta 0.000 0.000 0.896
5 Ta 0.333 0.667 0.124
6 Ta 0.333 0.667 0.376
7 Ta 0.333 0.667 0.651
8 Ta 0.333 0.667 0.849
9 Ta 0.667 0.333 0.151
10 Ta 0.667 0.333 0.349
11 Ta 0.667 0.333 0.624
12 Ta 0.667 0.333 0.876
13 Al 0.000 0.500 0.000
14 Al 0.000 0.500 0.500
15 Al 0.164 0.327 0.250
16 Al 0.164 0.836 0.250
17 Al 0.327 0.164 0.750
18 Al 0.500 0.000 0.000
19 Al 0.500 0.000 0.500
20 Al 0.500 0.500 0.000
21 Al 0.500 0.500 0.500
22 Al 0.673 0.836 0.250
23 Al 0.836 0.164 0.750
24 Al 0.836 0.673 0.750



These records have ρ values of 4.97 7.21 10.29 8.62 8.13 8.62 10.29 10.19 g/cm3, in the order they appear.
These records have total DFT energy (no corrections) values of -4.918 -6.338 -8.105 -7.091 -6.911 -7.106 -8.028 -7.948 eV/atom, in the order they appear.